# 1
DFT (PBE) results for crystalline Ca2SnTeO at its relaxed geometry.

Properties
E_form (uncorrected)   -1.18 eV per atom
Crystal system   tetragonal
VASP energy   -4.400 eV per atom
Magnetic moment   0.00 μB/cell

a b c (Å): 4.6890 5.5224 4.6890
angles (deg): 90.00 90.00 90.00
Fractional positions:
Ca (0.0000, 0.0000, 0.5000)
Ca (0.5000, 0.0000, 0.0000)
Te (0.0000, 0.5000, 0.0000)
Sn (0.5000, 0.5000, 0.5000)
O (0.0000, 0.0000, 0.0000)


# 2
DFT (PBE) results for crystalline Ca2SnTeO6 at its relaxed geometry.

Properties
E_form (uncorrected)   -1.86 eV per atom
Crystal system   tetragonal
VASP energy   -5.952 eV per atom
Magnetic moment   0.00 μB/cell

a b c (Å): 4.8592 5.7231 5.7231
angles (deg): 90.00 90.00 90.00
Fractional positions:
Ca (0.9877, 0.5000, 0.0000)
Ca (0.9877, 0.0000, 0.5000)
Sn (0.5885, 0.0000, 0.0000)
Te (0.6078, 0.5000, 0.5000)
O (0.7198, 0.2435, 0.2435)
O (0.7198, 0.2435, 0.7565)
O (0.2125, 0.5000, 0.5000)
O (0.1834, 0.0000, 0.0000)
O (0.7198, 0.7565, 0.7565)
O (0.7198, 0.7565, 0.2435)


# 3
DFT (PBE) results for crystalline Ca2TiSnO6 at its relaxed geometry.

Properties
E_form (uncorrected)   -2.60 eV per atom
Crystal system   tetragonal
VASP energy   -7.161 eV per atom
Magnetic moment   0.00 μB/cell

a b c (Å): 4.2338 5.5656 5.5656
angles (deg): 90.00 90.00 90.00
Fractional positions:
Ca (0.0371, 0.5000, 0.0000)
Ca (0.0371, 0.0000, 0.5000)
Ti (0.6033, 0.0000, 0.0000)
Sn (0.6332, 0.5000, 0.5000)
O (0.6989, 0.2429, 0.2429)
O (0.6989, 0.2429, 0.7571)
O (0.1554, 0.5000, 0.5000)
O (0.1851, 0.0000, 0.0000)
O (0.6989, 0.7571, 0.7571)
O (0.6989, 0.7571, 0.2429)


# 4
DFT (PBE) results for crystalline CaZrTiSnO6 at its relaxed geometry.

Properties
E_form (uncorrected)   -2.64 eV per atom
Crystal system   cubic
VASP energy   -7.861 eV per atom
Magnetic moment   0.00 μB/cell

a b c (Å): 5.7219 5.7219 5.7219
angles (deg): 60.00 60.00 60.00
Fractional positions:
Ca (0.7500, 0.7500, 0.7500)
Zr (0.5000, 0.5000, 0.5000)
Ti (0.0000, 0.0000, 0.0000)
Sn (0.2500, 0.2500, 0.2500)
O (0.2420, 0.7580, 0.2420)
O (0.7580, 0.2420, 0.7580)
O (0.2420, 0.7580, 0.7580)
O (0.7580, 0.2420, 0.2420)
O (0.2420, 0.2420, 0.7580)
O (0.7580, 0.7580, 0.2420)